## A
# Cs2InSn (PBE, optimized geometry)
# ρ: 2.716 g/cm3
# Total magnetization: 0.000 μB/atom
data_Cs2InSn
_chemical_formula_sum 'Cs8 In4 Sn4'
_cell_length_a 14.5680
_cell_length_b 14.5680
_cell_length_c 5.7543
_cell_angle_alpha 90.00
_cell_angle_beta 90.00
_cell_angle_gamma 90.00
_symmetry_space_group_name_H-M 'I -4 2 d'
_symmetry_Int_Tables_number 122
_symmetry_space_group_name_Hall 'I -4 2bw'
loop_
_atom_site_label
_atom_site_fract_x
_atom_site_fract_y
_atom_site_fract_z
Cs1 0.0493 0.2500 0.1250
In1 0.0000 0.0000 0.0000
Sn1 0.0000 0.0000 0.5000


## B
# Cs2InSn (PBE, optimized geometry)
# ρ: 4.452 g/cm3
# Total magnetization: 0.000 μB/atom
data_Cs2InSn
_chemical_formula_sum 'Cs8 In4 Sn4'
_cell_length_a 12.2139
_cell_length_b 9.2028
_cell_length_c 6.6274
_cell_angle_alpha 90.00
_cell_angle_beta 90.00
_cell_angle_gamma 90.00
_symmetry_space_group_name_H-M 'C m c m'
_symmetry_Int_Tables_number 63
_symmetry_space_group_name_Hall '-C 2c 2'
loop_
_atom_site_label
_atom_site_fract_x
_atom_site_fract_y
_atom_site_fract_z
Cs1 0.1705 0.1468 0.2500
In1 0.0000 0.5000 0.0000
Sn1 0.0000 0.2424 0.7500


## C
# Cs2InSn (PBE, optimized geometry)
# ρ: 4.480 g/cm3
# Total magnetization: 0.241 μB/atom
data_Cs2InSn
_chemical_formula_sum 'Cs8 In4 Sn4'
_cell_length_a 9.0462
_cell_length_b 9.0462
_cell_length_c 9.0462
_cell_angle_alpha 90.00
_cell_angle_beta 90.00
_cell_angle_gamma 90.00
_symmetry_space_group_name_H-M 'F m -3 m'
_symmetry_Int_Tables_number 225
_symmetry_space_group_name_Hall '-F 4 2 3'
loop_
_atom_site_label
_atom_site_fract_x
_atom_site_fract_y
_atom_site_fract_z
Cs1 0.2500 0.2500 0.2500
In1 0.0000 0.0000 0.0000
Sn1 0.0000 0.0000 0.5000


## D
# Cs2InSn (PBE, optimized geometry)
# ρ: 4.137 g/cm3
# Total magnetization: 0.000 μB/atom
data_Cs2InSn
_chemical_formula_sum 'Cs8 In4 Sn4'
_cell_length_a 7.3340
_cell_length_b 9.0059
_cell_length_c 12.1481
_cell_angle_alpha 87.60
_cell_angle_beta 89.91
_cell_angle_gamma 89.94
_symmetry_space_group_name_H-M 'P -1'
_symmetry_Int_Tables_number 2
_symmetry_space_group_name_Hall '-P 1'
loop_
_atom_site_label
_atom_site_fract_x
_atom_site_fract_y
_atom_site_fract_z
Cs1 0.2483 0.4116 0.0906
Cs2 0.2490 0.4227 0.4190
Cs3 0.2497 0.9065 0.5855
Cs4 0.2514 0.8949 0.9265
In1 0.0566 0.2487 0.7517
In2 0.4516 0.2473 0.7513
Sn1 0.2449 0.9506 0.2546
Sn2 0.2548 0.5309 0.7551


Most stable to least stable, the ends of the list are D and C.


## A
# Cs2In5Sn3 (PBE, optimized geometry)
# ρ: 5.787 g/cm3
# Total magnetization: 0.000 μB/atom
data_Cs2In5Sn3
_chemical_formula_sum 'Cs2 In5 Sn3'
_cell_length_a 5.3132
_cell_length_b 5.3132
_cell_length_c 12.1565
_cell_angle_alpha 90.00
_cell_angle_beta 90.00
_cell_angle_gamma 90.00
_symmetry_space_group_name_H-M 'P -4 m 2'
_symmetry_Int_Tables_number 115
_symmetry_space_group_name_Hall 'P -4 -2'
loop_
_atom_site_label
_atom_site_fract_x
_atom_site_fract_y
_atom_site_fract_z
Cs1 0.0000 0.5000 0.2468
In1 0.0000 0.0000 0.5000
In2 0.0000 0.5000 0.6269
In3 0.5000 0.5000 0.0000
In4 0.5000 0.5000 0.5000
Sn1 0.0000 0.0000 0.0000
Sn2 0.0000 0.5000 0.8743


## B
# Cs2In5Sn3 (PBE, optimized geometry)
# ρ: 5.830 g/cm3
# Total magnetization: 0.000 μB/atom
data_Cs2In5Sn3
_chemical_formula_sum 'Cs8 In20 Sn12'
_cell_length_a 12.1442
_cell_length_b 15.1103
_cell_length_c 7.4252
_cell_angle_alpha 90.00
_cell_angle_beta 90.00
_cell_angle_gamma 90.00
_symmetry_space_group_name_H-M 'I b a m'
_symmetry_Int_Tables_number 72
_symmetry_space_group_name_Hall '-I 2 2c'
loop_
_atom_site_label
_atom_site_fract_x
_atom_site_fract_y
_atom_site_fract_z
Cs1 0.2469 0.1258 0.0000
In1 0.0000 0.2551 0.2500
In2 0.0000 0.5000 0.2500
In3 0.1240 0.1254 0.5000
Sn1 0.0000 0.0000 0.2500
Sn2 0.1305 0.3779 0.0000


Most stable to least stable, the ends of the list are B and A.


## A
# CsIn3Sn2 (PBE, optimized geometry)
# ρ: 6.039 g/cm3
# Total magnetization: 0.000 μB/atom
data_CsIn3Sn2
_chemical_formula_sum 'Cs4 In12 Sn8'
_cell_length_a 18.5462
_cell_length_b 5.5853
_cell_length_c 8.0408
_cell_angle_alpha 90.00
_cell_angle_beta 109.28
_cell_angle_gamma 90.00
_symmetry_space_group_name_H-M 'C 1 2/m 1'
_symmetry_Int_Tables_number 12
_symmetry_space_group_name_Hall '-C 2y'
loop_
_atom_site_label
_atom_site_fract_x
_atom_site_fract_y
_atom_site_fract_z
Cs1 0.1274 0.0000 0.1802
In1 0.0511 0.0000 0.6833
In2 0.1536 0.5000 0.5010
In3 0.1843 0.5000 0.9040
Sn1 0.0117 0.5000 0.8170
Sn2 0.2147 0.0000 0.7063


## B
# CsIn3Sn2 (PBE, optimized geometry)
# ρ: 5.917 g/cm3
# Total magnetization: 0.000 μB/atom
data_CsIn3Sn2
_chemical_formula_sum 'Cs1 In3 Sn2'
_cell_length_a 6.7553
_cell_length_b 6.7553
_cell_length_c 5.0758
_cell_angle_alpha 90.00
_cell_angle_beta 90.00
_cell_angle_gamma 120.00
_symmetry_space_group_name_H-M 'P 6/m m m'
_symmetry_Int_Tables_number 191
_symmetry_space_group_name_Hall '-P 6 2'
loop_
_atom_site_label
_atom_site_fract_x
_atom_site_fract_y
_atom_site_fract_z
Cs1 0.0000 0.0000 0.0000
In1 0.0000 0.5000 0.5000
Sn1 0.3333 0.6667 0.0000


Most stable to least stable, the ends of the list are A and B.


## A
# CsIn3Sn3 (PBE, optimized geometry)
# ρ: 5.416 g/cm3
# Total magnetization: 0.000 μB/atom
data_CsIn3Sn3
_chemical_formula_sum 'Cs2 In6 Sn6'
_cell_length_a 11.6574
_cell_length_b 4.3400
_cell_length_c 11.6579
_cell_angle_alpha 90.00
_cell_angle_beta 119.93
_cell_angle_gamma 90.00
_symmetry_space_group_name_H-M 'P 1 21/m 1'
_symmetry_Int_Tables_number 11
_symmetry_space_group_name_Hall '-P 2yb'
loop_
_atom_site_label
_atom_site_fract_x
_atom_site_fract_y
_atom_site_fract_z
Cs1 0.1667 0.2500 0.3332
In1 0.1954 0.2500 0.7902
In2 0.2909 0.7500 0.0946
In3 0.4050 0.7500 0.6954
Sn1 0.0628 0.2500 0.9634
Sn2 0.0994 0.7500 0.5626
Sn3 0.4632 0.7500 0.4006


## B
# CsIn3Sn3 (PBE, optimized geometry)
# ρ: 5.030 g/cm3
# Total magnetization: 0.000 μB/atom
data_CsIn3Sn3
_chemical_formula_sum 'Cs2 In6 Sn6'
_cell_length_a 8.1946
_cell_length_b 8.1946
_cell_length_c 8.1946
_cell_angle_alpha 90.00
_cell_angle_beta 90.00
_cell_angle_gamma 90.00
_symmetry_space_group_name_H-M 'P m -3 n'
_symmetry_Int_Tables_number 223
_symmetry_space_group_name_Hall '-P 4n 2 3'
loop_
_atom_site_label
_atom_site_fract_x
_atom_site_fract_y
_atom_site_fract_z
Cs1 0.0000 0.0000 0.0000
In1 0.0000 0.2500 0.5000
Sn1 0.0000 0.5000 0.2500


## C
# CsIn3Sn3 (PBE, optimized geometry)
# ρ: 4.989 g/cm3
# Total magnetization: 0.000 μB/atom
data_CsIn3Sn3
_chemical_formula_sum 'Cs6 In18 Sn18'
_cell_length_a 7.9076
_cell_length_b 7.9076
_cell_length_c 30.7379
_cell_angle_alpha 90.00
_cell_angle_beta 90.00
_cell_angle_gamma 120.00
_symmetry_space_group_name_H-M 'R -3'
_symmetry_Int_Tables_number 148
_symmetry_space_group_name_Hall '-R 3'
loop_
_atom_site_label
_atom_site_fract_x
_atom_site_fract_y
_atom_site_fract_z
Cs1 0.0000 0.0000 0.1685
In1 0.0085 0.6559 0.3614
Sn1 0.0068 0.6880 0.5937


Most stable to least stable, the ends of the list are B and A.


## A
# CsInSn3 (PBE, optimized geometry)
# ρ: 4.978 g/cm3
# Total magnetization: 0.000 μB/atom
data_CsInSn3
_chemical_formula_sum 'Cs1 In1 Sn3'
_cell_length_a 5.8621
_cell_length_b 5.8621
_cell_length_c 5.8621
_cell_angle_alpha 90.00
_cell_angle_beta 90.00
_cell_angle_gamma 90.00
_symmetry_space_group_name_H-M 'P m -3 m'
_symmetry_Int_Tables_number 221
_symmetry_space_group_name_Hall '-P 4 2 3'
loop_
_atom_site_label
_atom_site_fract_x
_atom_site_fract_y
_atom_site_fract_z
Cs1 0.0000 0.0000 0.0000
In1 0.5000 0.5000 0.5000
Sn1 0.0000 0.5000 0.5000


## B
# CsInSn3 (PBE, optimized geometry)
# ρ: 4.152 g/cm3
# Total magnetization: 0.000 μB/atom
data_CsInSn3
_chemical_formula_sum 'Cs1 In1 Sn3'
_cell_length_a 6.2277
_cell_length_b 6.2277
_cell_length_c 6.2277
_cell_angle_alpha 90.00
_cell_angle_beta 90.00
_cell_angle_gamma 90.00
_symmetry_space_group_name_H-M 'P m -3 m'
_symmetry_Int_Tables_number 221
_symmetry_space_group_name_Hall '-P 4 2 3'
loop_
_atom_site_label
_atom_site_fract_x
_atom_site_fract_y
_atom_site_fract_z
Cs1 0.0000 0.0000 0.0000
In1 0.5000 0.5000 0.5000
Sn1 0.0000 0.0000 0.5000


## C
# CsInSn3 (PBE, optimized geometry)
# ρ: 5.847 g/cm3
# Total magnetization: 0.000 μB/atom
data_CsInSn3
_chemical_formula_sum 'Cs2 In2 Sn6'
_cell_length_a 5.4135
_cell_length_b 5.4135
_cell_length_c 11.7045
_cell_angle_alpha 90.00
_cell_angle_beta 90.00
_cell_angle_gamma 90.00
_symmetry_space_group_name_H-M 'I 4 m m'
_symmetry_Int_Tables_number 107
_symmetry_space_group_name_Hall 'I 4 -2'
loop_
_atom_site_label
_atom_site_fract_x
_atom_site_fract_y
_atom_site_fract_z
Cs1 0.0000 0.0000 0.0000
In1 0.0000 0.0000 0.6287
Sn1 0.0000 0.0000 0.3742
Sn2 0.0000 0.5000 0.2509


Most stable to least stable, the ends of the list are C and B.


## A
# Cs2In2Sn (PBE, optimized geometry)
# ρ: 4.295 g/cm3
# Total magnetization: 0.000 μB/atom
data_Cs2In2Sn
_chemical_formula_sum 'Cs8 In8 Sn4'
_cell_length_a 12.1544
_cell_length_b 8.9399
_cell_length_c 8.7404
_cell_angle_alpha 90.00
_cell_angle_beta 90.00
_cell_angle_gamma 90.00
_symmetry_space_group_name_H-M 'C m c m'
_symmetry_Int_Tables_number 63
_symmetry_space_group_name_Hall '-C 2c 2'
loop_
_atom_site_label
_atom_site_fract_x
_atom_site_fract_y
_atom_site_fract_z
Cs1 0.1932 0.0000 0.0000
In1 0.0000 0.3520 0.0905
Sn1 0.0000 0.3187 0.7500


## B
# Cs2In2Sn (PBE, optimized geometry)
# ρ: 4.920 g/cm3
# Total magnetization: 0.000 μB/atom
data_Cs2In2Sn
_chemical_formula_sum 'Cs4 In4 Sn2'
_cell_length_a 7.9687
_cell_length_b 7.9687
_cell_length_c 6.5289
_cell_angle_alpha 90.00
_cell_angle_beta 90.00
_cell_angle_gamma 90.00
_symmetry_space_group_name_H-M 'P 4/m b m'
_symmetry_Int_Tables_number 127
_symmetry_space_group_name_Hall '-P 4 2ab'
loop_
_atom_site_label
_atom_site_fract_x
_atom_site_fract_y
_atom_site_fract_z
Cs1 0.1830 0.3170 0.0000
In1 0.1323 0.6323 0.5000
Sn1 0.0000 0.0000 0.5000


Most stable to least stable, the ends of the list are A and B.